Computed, not measured: a geometry-optimized CuP2SBr structure at the GGA-PBE level of DFT.

Formation energy without anion corrections: 4.374 eV per formula unit
Volume: 96.9 Å³ per cell
Size of the total moment: 0.0 μB per formula unit
Fermi-level density of states: 4.2 states/eV per cell
Energy above the most stable polymorph in this dataset: 0.00 eV/f.u.
Symmetry: No. 123
E: -3.27 eV/atom

Unit cell a=4.6923 b=4.6923 c=4.4007 alpha=90.00 beta=90.00 gamma=90.00
With the nearest neighbours (Å) after each atom.
Element x y z (fractional)
1 Cu 0.0000 0.0000 0.0000  2 S 2.20, 4 P 2.35
2 P 0.0000 0.5000 0.0000  2 Cu 2.35
3 P 0.5000 0.0000 0.0000  2 Cu 2.35
4 S 0.0000 0.0000 0.5000  2 Cu 2.20
5 Br 0.5000 0.5000 0.5000  8 P 3.22, 4 S 3.32